1.
SrHfIN2 | PBE | relaxed

```
SrHfIN2
1.0
-0.457 1.919 -3.891
-1.496 -3.742 -1.669
-5.297 1.508 1.366
I Sr Hf N
1 1 1 2
direct
0.000 0.000 0.500
0.500 0.500 0.500
0.000 0.000 0.000
0.000 0.500 0.000
0.500 0.000 0.000
```

Energy above the most stable polymorph in this dataset in meV/atom: 0
Total energy in eV/atom: -6.3410
N(E_F) in states/eV per atom: 0.166
E_form (uncorrected) in kJ/mol of formula units: -180

=====

2.
LaHo7Sc4 | PBE | relaxed

```
LaHo7Sc4
1.0
1.311 6.710 1.334
4.181 -1.624 4.025
8.507 6.231 -3.299
La Ho Sc
1 7 4
direct
0.000 0.000 0.000
0.739 0.502 0.004
0.261 0.498 0.996
0.083 0.284 0.659
0.917 0.716 0.341
0.338 0.775 0.661
0.500 0.000 0.000
0.662 0.225 0.339
0.404 0.725 0.339
0.596 0.275 0.661
0.841 0.784 0.660
0.159 0.216 0.340
```

Formation energy in kJ/mol of atoms: 2.5
Total energy in eV/atom: -5.1658
N(E_F) in states/eV per atom: 1.476